Record 1
A geometry-optimized Ag3IBr3 structure. Source: the Alexandria database, functional GGA-PBE.

For the density of states at the Fermi level, the calculation gives 0.33 states/eV/atom. Its total magnetic moment is 0.00 Bohr magnetons per cell. As for the formation energy without anion corrections: -0.247 eV per atom. The uncorrected energy is -67.416 eV/cell.

The space group is Cmcm (No. 63) and the conventional cell measures 13.8518, 11.0788 and 5.4587 Å, with angles of 90.00, 90.00 and 90.00 degrees. The inequivalent atoms are Ag at (0.0000, 0.1265, 0.2500), Ag at (0.2130, 0.3792, 0.2500), I at (0.0000, 0.3726, 0.2500), Br at (0.0000, 0.1110, 0.7500) and Br at (0.2425, 0.1264, 0.2500).

=====

Record 2
A geometry-optimized Ba7AcRh3 structure. Source: the Alexandria database, functional GGA-PBE.

For the density of states at the Fermi level, the calculation gives 0.79 states/eV/atom. Its total magnetic moment is 0.01 Bohr magnetons per cell. The uncorrected energy is -84.673 eV/cell.

The space group is Cm (No. 8) and the conventional cell measures 14.8734, 8.9771 and 10.7063 Å, with angles of 90.00, 133.72 and 90.00 degrees. The inequivalent atoms are Ba at (0.0000, 0.0000, 0.0000), Ba at (0.0013, 0.5000, 0.0029), Ba at (0.0654, 0.5000, 0.6730), Ba at (0.2509, 0.2568, 0.5123), Ba at (0.3139, 0.2566, 0.1648), Ac at (0.0483, 0.0000, 0.6684), Rh at (0.0341, 0.2416, 0.8313) and Rh at (0.2922, 0.5000, 0.3486).

=====

Which formula does entry 2 have? Ba7AcRh3